[1]
Compound: NpSe2S2
Source: Alexandria
Functional: PBE
Structure: relaxed

Cell: 7.101 4.082 11.039 Å, 90.00 92.59 90.00°
Fractional coordinates of all 10 atoms:
1 Np 0.000 0.000 0.000
2 Np 0.500 0.500 0.000
3 Se 0.177 0.500 0.139
4 Se 0.323 0.000 0.861
5 Se 0.677 0.000 0.139
6 Se 0.823 0.500 0.861
7 S 0.122 0.500 0.542
8 S 0.378 0.000 0.458
9 S 0.622 0.000 0.542
10 S 0.878 0.500 0.458

- energy relative to the elements, uncorrected (eV/atom) = -0.48
- Fermi-level density of states (states/eV per cell) = 19.1

=====

[2]
Compound: Np3Se3S
Source: Alexandria
Functional: PBE
Structure: relaxed

Cell: 5.668 5.668 5.668 Å, 102.58 102.58 102.58°
Fractional coordinates of all 7 atoms:
1 Np 0.168 0.168 0.665
2 Np 0.168 0.665 0.168
3 Np 0.665 0.168 0.168
4 Se 0.336 0.732 0.732
5 Se 0.732 0.336 0.732
6 Se 0.732 0.732 0.336
7 S 0.170 0.170 0.170

- energy relative to the elements, uncorrected (eV/atom) = -1.10
- Fermi-level density of states (states/eV per cell) = 18.6

=====

[3]
Compound: Np3SeS4
Source: Alexandria
Functional: PBE
Structure: relaxed

Cell: 4.420 4.420 9.586 Å, 90.00 90.00 90.00°
Fractional coordinates of all 8 atoms:
1 Np 0.000 0.000 0.000
2 Np 0.500 0.500 0.336
3 Np 0.500 0.500 0.664
4 Se 0.000 0.000 0.500
5 S 0.000 0.500 0.173
6 S 0.000 0.500 0.827
7 S 0.500 0.000 0.173
8 S 0.500 0.000 0.827

- energy relative to the elements, uncorrected (eV/atom) = -1.04
- Fermi-level density of states (states/eV per cell) = 32.5

=====

[4]
Compound: NpSeS
Source: Alexandria
Functional: PBE
Structure: relaxed

Cell: 4.084 4.084 6.501 Å, 90.00 90.00 120.00°
Fractional coordinates of all 3 atoms:
1 Np 0.000 0.000 0.000
2 Se 0.667 0.333 0.762
3 S 0.333 0.667 0.195

- distance to the lowest polymorph of the same formula (meV/atom) = 17
- energy relative to the elements, uncorrected (eV/atom) = -1.14
- Fermi-level density of states (states/eV per cell) = 8.5

=====

[5]
Compound: Np3Se2S2
Source: Alexandria
Functional: PBE
Structure: relaxed

Cell: 13.055 4.001 7.085 Å, 90.00 99.68 90.00°
Fractional coordinates of all 14 atoms:
1 Np 0.000 0.000 0.000
2 Np 0.240 0.000 0.752
3 Np 0.260 0.500 0.248
4 Np 0.500 0.500 0.000
5 Np 0.740 0.500 0.752
6 Np 0.760 0.000 0.248
7 Se 0.126 0.000 0.371
8 Se 0.374 0.500 0.629
9 Se 0.626 0.500 0.371
10 Se 0.874 0.000 0.629
11 S 0.127 0.500 0.896
12 S 0.373 0.000 0.104
13 S 0.627 0.000 0.896
14 S 0.873 0.500 0.104

- distance to the lowest polymorph of the same formula (meV/atom) = 12
- energy relative to the elements, uncorrected (eV/atom) = -1.26
- Fermi-level density of states (states/eV per cell) = 52.4

=====

[6]
Compound: NpSeS
Source: Alexandria
Functional: PBE
Structure: relaxed

Cell: 8.264 8.264 8.264 Å, 32.38 32.38 32.38°
Fractional coordinates of all 6 atoms:
1 Np 0.243 0.243 0.243
2 Np 0.757 0.757 0.757
3 Se 0.374 0.374 0.374
4 Se 0.626 0.626 0.626
5 S 0.127 0.127 0.127
6 S 0.873 0.873 0.873

- distance to the lowest polymorph of the same formula (meV/atom) = 0
- energy relative to the elements, uncorrected (eV/atom) = -1.16
- Fermi-level density of states (states/eV per cell) = 21.7

=====

[7]
Compound: NpSeS
Source: Alexandria
Functional: PBE
Structure: relaxed

Cell: 6.611 6.611 6.611 Å, 90.00 90.00 90.00°
Fractional coordinates of all 12 atoms:
1 Np 0.000 0.000 0.000
2 Np 0.000 0.500 0.500
3 Np 0.500 0.000 0.500
4 Np 0.500 0.500 0.000
5 Se 0.250 0.250 0.750
6 Se 0.250 0.750 0.250
7 Se 0.750 0.250 0.250
8 Se 0.750 0.750 0.750
9 S 0.250 0.250 0.250
10 S 0.250 0.750 0.750
11 S 0.750 0.250 0.750
12 S 0.750 0.750 0.250

- distance to the lowest polymorph of the same formula (meV/atom) = 28
- energy relative to the elements, uncorrected (eV/atom) = -1.13
- Fermi-level density of states (states/eV per cell) = 47.3

=====

[8]
Compound: SmNpSeS2
Source: Alexandria
Functional: PBE
Structure: relaxed

Cell: 4.355 4.355 13.429 Å, 90.00 90.00 90.00°
Fractional coordinates of all 10 atoms:
1 Sm 0.000 0.000 0.000
2 Sm 0.500 0.500 0.500
3 Np 0.000 0.000 0.264
4 Np 0.500 0.500 0.764
5 Se 0.000 0.000 0.632
6 Se 0.500 0.500 0.132
7 S 0.000 0.500 0.379
8 S 0.000 0.500 0.879
9 S 0.500 0.000 0.379
10 S 0.500 0.000 0.879

- energy relative to the elements, uncorrected (eV/atom) = -1.24
- Fermi-level density of states (states/eV per cell) = 24.8